# 1
An optimized crystal structure of ThInCu, computed with PBE-GGA.

a b c (Å): 13.0592 4.3400 7.3241
angles (deg): 90.00 90.00 90.00
With the nearest neighbours (Å) after each atom.
Fractional positions:
1 Th 0.0422 0.0000 0.2378  5 Cu 3.10-3.11, 4 In 3.39-3.43
2 Th 0.2500 0.0000 0.8599  5 Cu 3.06-3.07, 2 In 3.31
3 Th 0.4578 0.0000 0.2378  5 Cu 3.10-3.11, 4 In 3.39-3.43
4 Th 0.5422 0.0000 0.7622  5 Cu 3.10-3.11, 4 In 3.39-3.43
5 Th 0.7500 0.0000 0.1401  5 Cu 3.06-3.07, 2 In 3.31
6 Th 0.9578 0.0000 0.7622  5 Cu 3.10-3.11, 4 In 3.39-3.43
7 In 0.1253 0.5000 0.5695  3 Cu 2.80-2.87
8 In 0.2500 0.5000 0.2021  4 Cu 2.79-2.80
9 In 0.3747 0.5000 0.5695  3 Cu 2.80-2.87
10 In 0.6253 0.5000 0.4305  3 Cu 2.80-2.87
11 In 0.7500 0.5000 0.7979  4 Cu 2.79-2.80
12 In 0.8747 0.5000 0.4305  3 Cu 2.80-2.87
13 Cu 0.0915 0.5000 0.9471  1 Cu 2.51, 2 In 2.79-2.80
14 Cu 0.2500 0.0000 0.4427  6 In 2.80-2.87, 3 Th 3.06-3.10
15 Cu 0.4085 0.5000 0.9471  1 Cu 2.51, 2 In 2.79-2.80
16 Cu 0.5915 0.5000 0.0529  1 Cu 2.51, 2 In 2.79-2.80
17 Cu 0.7500 0.0000 0.5573  6 In 2.80-2.87, 3 Th 3.06-3.10
18 Cu 0.9085 0.5000 0.0529  1 Cu 2.51, 2 In 2.79-2.80

Computed properties:
E: -15.07 eV per formula unit
size of the total moment: 0.00 μB per formula unit


# 2
An optimized crystal structure of Th4In8Cu, computed with PBE-GGA.

a b c (Å): 4.5858 4.6981 16.2309
angles (deg): 90.00 90.00 90.00
With the nearest neighbours (Å) after each atom.
Fractional positions:
1 Th 0.0000 0.0000 0.0000  10 In 3.32-3.41
2 Th 0.0000 0.5000 0.4753  10 In 3.29-3.53, 2 Th 3.59, 1 Cu 3.60
3 Th 0.5000 0.0000 0.7926  10 In 3.42-3.69, 4 Cu 3.63
4 Th 0.5000 0.5000 0.3054  10 In 3.29-3.49, 2 Th 3.59
5 In 0.0000 0.0000 0.3133  6 Th 3.29-3.53, 6 In 3.36-3.51
6 In 0.0000 0.0000 0.6219  2 Cu 2.65
7 In 0.0000 0.5000 0.1524  6 In 3.28-3.51, 4 Th 3.38-3.41
8 In 0.0000 0.5000 0.8527  1 Cu 2.52
9 In 0.5000 0.0000 0.1552  6 In 3.28-3.44, 4 Th 3.39-3.41
10 In 0.5000 0.0000 0.4648  6 Th 3.29-3.49, 6 In 3.36-3.46
11 In 0.5000 0.5000 0.6210  2 Cu 2.61
12 In 0.5000 0.5000 0.9679  2 In 2.96
13 Cu 0.0000 0.5000 0.6972  5 In 2.52-2.65

Computed properties:
E: -58.38 eV per formula unit
size of the total moment: 0.00 μB per formula unit


What is the size of the total moment in the first record? 0.00 μB per formula unit


Which of these has the highest E? ThInCu


What did the first record say?
An optimized crystal structure of ThInCu, computed with PBE-GGA.

a b c (Å): 13.0592 4.3400 7.3241
angles (deg): 90.00 90.00 90.00
With the nearest neighbours (Å) after each atom.
Fractional positions:
1 Th 0.0422 0.0000 0.2378  5 Cu 3.10-3.11, 4 In 3.39-3.43
2 Th 0.2500 0.0000 0.8599  5 Cu 3.06-3.07, 2 In 3.31
3 Th 0.4578 0.0000 0.2378  5 Cu 3.10-3.11, 4 In 3.39-3.43
4 Th 0.5422 0.0000 0.7622  5 Cu 3.10-3.11, 4 In 3.39-3.43
5 Th 0.7500 0.0000 0.1401  5 Cu 3.06-3.07, 2 In 3.31
6 Th 0.9578 0.0000 0.7622  5 Cu 3.10-3.11, 4 In 3.39-3.43
7 In 0.1253 0.5000 0.5695  3 Cu 2.80-2.87
8 In 0.2500 0.5000 0.2021  4 Cu 2.79-2.80
9 In 0.3747 0.5000 0.5695  3 Cu 2.80-2.87
10 In 0.6253 0.5000 0.4305  3 Cu 2.80-2.87
11 In 0.7500 0.5000 0.7979  4 Cu 2.79-2.80
12 In 0.8747 0.5000 0.4305  3 Cu 2.80-2.87
13 Cu 0.0915 0.5000 0.9471  1 Cu 2.51, 2 In 2.79-2.80
14 Cu 0.2500 0.0000 0.4427  6 In 2.80-2.87, 3 Th 3.06-3.10
15 Cu 0.4085 0.5000 0.9471  1 Cu 2.51, 2 In 2.79-2.80
16 Cu 0.5915 0.5000 0.0529  1 Cu 2.51, 2 In 2.79-2.80
17 Cu 0.7500 0.0000 0.5573  6 In 2.80-2.87, 3 Th 3.06-3.10
18 Cu 0.9085 0.5000 0.0529  1 Cu 2.51, 2 In 2.79-2.80

Computed properties:
E: -15.07 eV per formula unit
size of the total moment: 0.00 μB per formula unit